DFT (PBE-GGA) results for a relaxed structure of RbSrY2Tc.

Unit cell a=5.4592 b=5.4592 c=6.3691 alpha=90.00 beta=90.00 gamma=90.00
Space group P4/mmm (No. 123)
Symmetry-distinct sites (fractional):
Rb 0.0000 0.0000 0.0000 [1 per cell]
Sr 0.5000 0.5000 0.0000 [1 per cell]
Y 0.0000 0.5000 0.5000 [2 per cell]
Tc 0.5000 0.5000 0.5000 [1 per cell]

Output
- energy of formation (meV/atom) = 368
- theoretical density (g cm⁻³) = 3.9
- crystal system = tetragonal